1.
Computed, not measured: a relaxed SrZnH8Pd2 crystal at the PBE level of DFT.

The calculation puts the spin magnetization at 0.00 μB/f.u. As for the total energy: -3.37 eV per atom.

a = 6.4921 Å, b = 6.4921 Å, c = 6.4921 Å
α = 43.63°, β = 43.63°, γ = 43.63°
Sites, in units of the cell vectors:
Sr 0.0000 0.0000 0.0000
Zn 0.5000 0.5000 0.5000
H 0.1370 0.4313 0.7524
H 0.2476 0.8630 0.5687
H 0.3080 0.3080 0.3080
H 0.4313 0.7524 0.1370
H 0.5687 0.2476 0.8630
H 0.6920 0.6920 0.6920
H 0.7524 0.1370 0.4313
H 0.8630 0.5687 0.2476
Pd 0.2150 0.2150 0.2150
Pd 0.7850 0.7850 0.7850

---

2.
Computed, not measured: a relaxed Sr2ZnHPd crystal at the PBE level of DFT.

As for the energy above the most stable polymorph in this dataset: 106.0 meV per atom. The calculation puts the spin magnetization at 0.00 μB/f.u.

a = 5.1689 Å, b = 5.1689 Å, c = 4.0499 Å
α = 90.00°, β = 90.00°, γ = 90.00°
Sites, in units of the cell vectors:
Sr 0.0000 0.5000 0.0000
Sr 0.5000 0.0000 0.0000
Zn 0.0000 0.0000 0.5000
H 0.0000 0.0000 0.0000
Pd 0.5000 0.5000 0.5000

---

3.
Computed, not measured: a relaxed SrZrHPd2 crystal at the PBE level of DFT.

The calculation puts the spin magnetization at 0.00 μB/f.u. As for the total energy: -5.00 eV per atom.

a = 5.2426 Å, b = 5.2426 Å, c = 3.8918 Å
α = 90.00°, β = 90.00°, γ = 90.00°
Sites, in units of the cell vectors:
Sr 0.0000 0.0000 0.0000
Zr 0.5000 0.5000 0.5000
H 0.5000 0.5000 0.0000
Pd 0.0000 0.5000 0.5000
Pd 0.5000 0.0000 0.5000

---

4.
Computed, not measured: a relaxed TaH3Pd crystal at the PBE level of DFT.

The calculation puts the spin magnetization at 0.00 μB/f.u. As for the total energy: -5.20 eV per atom.

a = 3.5756 Å, b = 3.5756 Å, c = 3.5756 Å
α = 90.00°, β = 90.00°, γ = 90.00°
Sites, in units of the cell vectors:
Ta 0.0000 0.0000 0.0000
H 0.0000 0.0000 0.5000
H 0.0000 0.5000 0.0000
H 0.5000 0.0000 0.0000
Pd 0.5000 0.5000 0.5000

---

5.
Computed, not measured: a relaxed TaHPd2 crystal at the PBE level of DFT.

As for the energy above the most stable polymorph in this dataset: 83.7 meV per atom. The calculation puts the spin magnetization at 0.00 μB/f.u.

a = 2.8618 Å, b = 2.8618 Å, c = 22.7067 Å
α = 90.00°, β = 90.00°, γ = 120.00°
Sites, in units of the cell vectors:
Ta 0.0000 0.0000 0.0000
Ta 0.3333 0.6667 0.6667
Ta 0.6667 0.3333 0.3333
H 0.0000 0.0000 0.5000
H 0.3333 0.6667 0.1667
H 0.6667 0.3333 0.8333
Pd 0.0000 0.0000 0.1124
Pd 0.0000 0.0000 0.8876
Pd 0.3333 0.6667 0.5542
Pd 0.3333 0.6667 0.7791
Pd 0.6667 0.3333 0.2209
Pd 0.6667 0.3333 0.4458

---

6.
Computed, not measured: a relaxed Ta5H12Pd3 crystal at the PBE level of DFT.

The calculation puts the spin magnetization at 0.00 μB/f.u. As for the total energy: -5.69 eV per atom.

a = 9.7932 Å, b = 9.7932 Å, c = 9.7932 Å
α = 109.47°, β = 109.47°, γ = 109.47°
Sites, in units of the cell vectors:
Ta 0.0000 0.0000 0.0000
Ta 0.0000 0.0000 0.5000
Ta 0.0000 0.5000 0.0000
Ta 0.0000 0.5000 0.5000
Ta 0.1250 0.7500 0.8750
Ta 0.1250 0.8750 0.2500
Ta 0.2500 0.1250 0.8750
Ta 0.2500 0.6250 0.3750
Ta 0.3750 0.2500 0.6250
Ta 0.3750 0.6250 0.7500
Ta 0.5000 0.0000 0.0000
Ta 0.5000 0.0000 0.5000
Ta 0.5000 0.5000 0.0000
Ta 0.5000 0.5000 0.5000
Ta 0.6250 0.3750 0.2500
Ta 0.6250 0.7500 0.3750
Ta 0.7500 0.3750 0.6250
Ta 0.7500 0.8750 0.1250
Ta 0.8750 0.1250 0.7500
Ta 0.8750 0.2500 0.1250
H 0.0573 0.2152 0.1577
H 0.0573 0.3421 0.8996
H 0.0576 0.7152 0.6579
H 0.0576 0.8423 0.3996
H 0.1004 0.6577 0.4424
H 0.1004 0.9427 0.6579
H 0.1577 0.0573 0.2152
H 0.1579 0.2152 0.5576
H 0.1579 0.4427 0.6004
H 0.1577 0.6004 0.9424
H 0.2152 0.1577 0.0573
H 0.2152 0.5576 0.1579
H 0.2848 0.3421 0.9424
H 0.2848 0.4427 0.3423
H 0.3423 0.2848 0.4427
H 0.3423 0.5576 0.8996
H 0.3421 0.8996 0.0573
H 0.3421 0.9424 0.2848
H 0.3996 0.0576 0.8423
H 0.3996 0.8421 0.5573
H 0.4424 0.1004 0.6577
H 0.4424 0.8421 0.7848
H 0.4427 0.3423 0.2848
H 0.4427 0.6004 0.1579
H 0.5573 0.3996 0.8421
H 0.5573 0.6577 0.7152
H 0.5576 0.1579 0.2152
H 0.5576 0.8996 0.3423
H 0.6004 0.1579 0.4427
H 0.6004 0.9424 0.1577
H 0.6579 0.0576 0.7152
H 0.6579 0.1004 0.9427
H 0.6577 0.4424 0.1004
H 0.6577 0.7152 0.5573
H 0.7152 0.5573 0.6577
H 0.7152 0.6579 0.0576
H 0.7848 0.4424 0.8421
H 0.7848 0.8423 0.9427
H 0.8423 0.3996 0.0576
H 0.8421 0.5573 0.3996
H 0.8421 0.7848 0.4424
H 0.8423 0.9427 0.7848
H 0.8996 0.0573 0.3421
H 0.8996 0.3423 0.5576
H 0.9424 0.1577 0.6004
H 0.9424 0.2848 0.3421
H 0.9427 0.6579 0.1004
H 0.9427 0.7848 0.8423
Pd 0.1250 0.2500 0.3750
Pd 0.1250 0.3750 0.7500
Pd 0.2500 0.3750 0.1250
Pd 0.2500 0.8750 0.6250
Pd 0.3750 0.1250 0.2500
Pd 0.3750 0.7500 0.1250
Pd 0.6250 0.2500 0.8750
Pd 0.6250 0.8750 0.7500
Pd 0.7500 0.1250 0.3750
Pd 0.7500 0.6250 0.8750
Pd 0.8750 0.6250 0.2500
Pd 0.8750 0.7500 0.6250

---

7.
Computed, not measured: a relaxed Ta2HPd9 crystal at the PBE level of DFT.

The calculation puts the spin magnetization at 0.00 μB/f.u. As for the total energy: -6.38 eV per atom.

a = 3.9553 Å, b = 3.9553 Å, c = 11.5248 Å
α = 90.00°, β = 90.00°, γ = 90.00°
Sites, in units of the cell vectors:
Ta 0.0000 0.0000 0.1821
Ta 0.0000 0.0000 0.8179
H 0.0000 0.0000 0.5000
Pd 0.0000 0.5000 0.0000
Pd 0.0000 0.5000 0.3382
Pd 0.0000 0.5000 0.6618
Pd 0.5000 0.0000 0.0000
Pd 0.5000 0.0000 0.3382
Pd 0.5000 0.0000 0.6618
Pd 0.5000 0.5000 0.1684
Pd 0.5000 0.5000 0.5000
Pd 0.5000 0.5000 0.8316

---

8.
Computed, not measured: a relaxed Ta2HPd crystal at the PBE level of DFT.

As for the energy above the most stable polymorph in this dataset: 351.7 meV per atom. The calculation puts the spin magnetization at 0.00 μB/f.u.

a = 2.8886 Å, b = 2.8886 Å, c = 23.6505 Å
α = 90.00°, β = 90.00°, γ = 120.00°
Sites, in units of the cell vectors:
Ta 0.0000 0.0000 0.1095
Ta 0.0000 0.0000 0.8905
Ta 0.3333 0.6667 0.5572
Ta 0.3333 0.6667 0.7762
Ta 0.6667 0.3333 0.2238
Ta 0.6667 0.3333 0.4428
H 0.0000 0.0000 0.5000
H 0.3333 0.6667 0.1667
H 0.6667 0.3333 0.8333
Pd 0.0000 0.0000 0.0000
Pd 0.3333 0.6667 0.6667
Pd 0.6667 0.3333 0.3333

---

9.
Computed, not measured: a relaxed TaH4Pd4 crystal at the PBE level of DFT.

The calculation puts the spin magnetization at 0.00 μB/f.u. As for the total energy: -5.24 eV per atom.

a = 5.1971 Å, b = 5.1971 Å, c = 7.1173 Å
α = 120.57°, β = 120.57°, γ = 34.98°
Sites, in units of the cell vectors:
Ta 0.0000 0.0000 0.0000
H 0.0075 0.0075 0.2999
H 0.3824 0.3824 0.8206
H 0.6176 0.6176 0.1794
H 0.9925 0.9925 0.7001
Pd 0.2032 0.2032 0.8162
Pd 0.3952 0.3952 0.5792
Pd 0.6048 0.6048 0.4208
Pd 0.7968 0.7968 0.1838

---

10.
Computed, not measured: a relaxed Ta2HPd crystal at the PBE level of DFT.

As for the energy above the most stable polymorph in this dataset: 588.4 meV per atom. The calculation puts the spin magnetization at 0.00 μB/f.u.

a = 6.1945 Å, b = 6.1945 Å, c = 6.1945 Å
α = 90.00°, β = 90.00°, γ = 90.00°
Sites, in units of the cell vectors:
Ta 0.2500 0.2500 0.2500
Ta 0.2500 0.2500 0.7500
Ta 0.2500 0.7500 0.2500
Ta 0.2500 0.7500 0.7500
Ta 0.7500 0.2500 0.2500
Ta 0.7500 0.2500 0.7500
Ta 0.7500 0.7500 0.2500
Ta 0.7500 0.7500 0.7500
H 0.0000 0.0000 0.0000
H 0.0000 0.5000 0.5000
H 0.5000 0.0000 0.5000
H 0.5000 0.5000 0.0000
Pd 0.0000 0.0000 0.5000
Pd 0.0000 0.5000 0.0000
Pd 0.5000 0.0000 0.0000
Pd 0.5000 0.5000 0.5000

---

11.
Computed, not measured: a relaxed TaHPd2 crystal at the PBE level of DFT.

As for the energy above the most stable polymorph in this dataset: 0.0 meV per atom. The calculation puts the spin magnetization at 0.00 μB/f.u.

a = 6.5395 Å, b = 6.5395 Å, c = 4.9195 Å
α = 90.00°, β = 90.00°, γ = 90.00°
Sites, in units of the cell vectors:
Ta 0.0000 0.0000 0.0000
Ta 0.0000 0.5000 0.2500
Ta 0.5000 0.0000 0.7500
Ta 0.5000 0.5000 0.5000
H 0.0000 0.0000 0.5000
H 0.0000 0.5000 0.7500
H 0.5000 0.0000 0.2500
H 0.5000 0.5000 0.0000
Pd 0.1476 0.2500 0.6250
Pd 0.2500 0.6476 0.8750
Pd 0.2500 0.8524 0.3750
Pd 0.3524 0.2500 0.1250
Pd 0.6476 0.7500 0.1250
Pd 0.7500 0.1476 0.3750
Pd 0.7500 0.3524 0.8750
Pd 0.8524 0.7500 0.6250

---

12.
Computed, not measured: a relaxed TaH2Pd crystal at the PBE level of DFT.

As for the energy above the most stable polymorph in this dataset: 40.3 meV per atom. The calculation puts the spin magnetization at 0.00 μB/f.u.

a = 3.0491 Å, b = 3.0491 Å, c = 15.2426 Å
α = 90.00°, β = 90.00°, γ = 120.00°
Sites, in units of the cell vectors:
Ta 0.0000 0.0000 0.0000
Ta 0.3333 0.6667 0.6667
Ta 0.6667 0.3333 0.3333
H 0.0000 0.0000 0.3832
H 0.0000 0.0000 0.6168
H 0.3333 0.6667 0.0499
H 0.3333 0.6667 0.2835
H 0.6667 0.3333 0.7165
H 0.6667 0.3333 0.9501
Pd 0.0000 0.0000 0.5000
Pd 0.3333 0.6667 0.1667
Pd 0.6667 0.3333 0.8333